Below is TbY2In3Pd3 after structural relaxation, with properties calculated at the GGA-PBE level.

Values from the calculation:
total magnetic moment: 0.006 μB/cell
calculated total energy: -5.41 eV per atom

a = 3.858 Å, b = 7.706 Å, c = 7.706 Å
α = 119.89°, β = 90.00°, γ = 90.00°
Atoms (fractional coordinates):
In 0.500 0.741 0.001
In 0.500 0.257 0.257
In 0.500 0.001 0.741
Pd 0.500 0.666 0.335
Pd 0.500 0.335 0.666
Pd 0.000 0.999 0.999
Tb 0.000 0.591 0.591
Y 0.000 0.408 0.000
Y 0.000 0.000 0.408